Computed, not measured: a relaxed structure of Dy4HgPd15 at the PBE level of DFT.

Properties
ΔE_f	-0.725	eV/atom
total magnetization	0.000	μB/atom
total DFT energy (no corrections)	-111.1	eV per formula unit
V	347	Å³/f.u.
crystal system	tetragonal
DOS at the Fermi energy	19.32	states/eV/f.u.

Cell lengths 4.098, 4.098, 20.672 Å; angles 90.00, 90.00, 90.00 degrees
Space group P4/mmm (No. 123)
Inequivalent atoms, fractional coordinates:
Dy (0.000, 0.000, 0.100) (multiplicity 2)
Dy (0.000, 0.000, 0.302) (multiplicity 2)
Hg (0.000, 0.000, 0.500) (multiplicity 1)
Pd (0.000, 0.500, 0.000) (multiplicity 2)
Pd (0.000, 0.500, 0.201) (multiplicity 4)
Pd (0.000, 0.500, 0.401) (multiplicity 4)
Pd (0.500, 0.500, 0.101) (multiplicity 2)
Pd (0.500, 0.500, 0.301) (multiplicity 2)
Pd (0.500, 0.500, 0.500) (multiplicity 1)